A plane-wave DFT calculation with GGA-PBE was carried out for a relaxed structure of Nd6TmPb.

Calculated values
Symmetry: No. 123
Total moment in μB/cell: 0.00
Formation energy from the elements in eV/atom: -0.146

Cell lengths 5.0292, 5.0292, 10.3574 Å; angles 90.00, 90.00, 90.00 degrees
Closest atoms and distances in Å follow each position.
Fractional positions:
Nd: 0.0000 0.0000 0.0000  4 Pb 3.56, 8 Nd 3.57
Nd: 0.0000 0.0000 0.5000  4 Tm 3.56, 8 Nd 3.64
Nd: 0.0000 0.5000 0.2453  8 Nd 3.56-3.64, 2 Pb 3.57, 2 Tm 3.64
Nd: 0.0000 0.5000 0.7547  8 Nd 3.56-3.64, 2 Pb 3.57, 2 Tm 3.64
Nd: 0.5000 0.0000 0.2453  8 Nd 3.56-3.64, 2 Pb 3.57, 2 Tm 3.64
Nd: 0.5000 0.0000 0.7547  8 Nd 3.56-3.64, 2 Pb 3.57, 2 Tm 3.64
Tm: 0.5000 0.5000 0.5000  12 Nd 3.56-3.64
Pb: 0.5000 0.5000 0.0000  12 Nd 3.56-3.57

A plane-wave DFT calculation with GGA-PBE was carried out for a relaxed structure of CdAg3Br.

Calculated values
Uncorrected formation energy in eV/atom: 0.57
Offset from the most stable computed form in eV per formula unit: 0.164
Symmetry: No. 221
Total moment in μB/cell: 0.00

Cell lengths 5.2739, 5.2739, 5.2739 Å; angles 90.00, 90.00, 90.00 degrees
Closest atoms and distances in Å follow each position.
Fractional positions:
Cd: 0.0000 0.0000 0.0000  12 Ag 3.73
Ag: 0.0000 0.5000 0.5000  2 Br 2.64
Ag: 0.5000 0.0000 0.5000  2 Br 2.64
Ag: 0.5000 0.5000 0.0000  2 Br 2.64
Br: 0.5000 0.5000 0.5000  6 Ag 2.64

A plane-wave DFT calculation with GGA-PBE was carried out for a relaxed structure of Rb2LiBeCo.

Calculated values
Symmetry: No. 123
Total moment in μB/cell: 1.52
Formation energy from the elements in eV/atom: 1.227

Cell lengths 6.5402, 6.5402, 4.5735 Å; angles 90.00, 90.00, 90.00 degrees
Closest atoms and distances in Å follow each position.
Fractional positions:
Rb: 0.0000 0.5000 0.0000  2 Li 3.27
Rb: 0.5000 0.0000 0.0000  2 Li 3.27
Li: 0.0000 0.0000 0.0000  2 Co 2.29
Be: 0.5000 0.5000 0.5000  8 Rb 3.99
Co: 0.0000 0.0000 0.5000  2 Li 2.29

A plane-wave DFT calculation with GGA-PBE was carried out for a relaxed structure of ThPa2Fe9.

Calculated values
Symmetry: No. 166
Total moment in μB/cell: 14.83
Formation energy from the elements in eV/atom: -0.127

Cell lengths 8.7781, 8.7781, 8.7781 Å; angles 33.16, 33.16, 33.16 degrees
Closest atoms and distances in Å follow each position.
Fractional positions:
Th: 0.0000 0.0000 0.0000  6 Fe 2.89
Pa: 0.1428 0.1428 0.1428  12 Fe 2.91-3.04, 3 Pa 3.13
Pa: 0.8572 0.8572 0.8572  12 Fe 2.91-3.04, 3 Pa 3.13
Fe: 0.0825 0.5834 0.5834  7 Fe 2.50-2.53
Fe: 0.3332 0.3332 0.3332  6 Fe 2.52-2.53
Fe: 0.4166 0.4166 0.9175  7 Fe 2.50-2.53
Fe: 0.4166 0.9175 0.4166  7 Fe 2.50-2.53
Fe: 0.5000 0.5000 0.5000  6 Fe 2.53
Fe: 0.5834 0.0825 0.5834  7 Fe 2.50-2.53
Fe: 0.5834 0.5834 0.0825  7 Fe 2.50-2.53
Fe: 0.6668 0.6668 0.6668  6 Fe 2.52-2.53
Fe: 0.9175 0.4166 0.4166  7 Fe 2.50-2.53

A plane-wave DFT calculation with GGA-PBE was carried out for a relaxed structure of Tb9MgIn2.

Calculated values
Symmetry: No. 123
Total moment in μB/cell: 0.07
Formation energy from the elements in eV/atom: -0.170

Cell lengths 4.8820, 4.8820, 14.6495 Å; angles 90.00, 90.00, 90.00 degrees
Closest atoms and distances in Å follow each position.
Fractional positions:
Tb: 0.0000 0.0000 0.0000  4 Mg 3.45, 8 Tb 3.47
Tb: 0.0000 0.0000 0.3324  8 Tb 3.42-3.46, 4 In 3.45
Tb: 0.0000 0.0000 0.6676  8 Tb 3.42-3.46, 4 In 3.45
Tb: 0.0000 0.5000 0.1685  8 Tb 3.42-3.47, 2 In 3.46, 2 Mg 3.47
Tb: 0.0000 0.5000 0.5000  4 In 3.43, 8 Tb 3.45-3.46
Tb: 0.0000 0.5000 0.8315  8 Tb 3.42-3.47, 2 In 3.46, 2 Mg 3.47
Tb: 0.5000 0.0000 0.1685  8 Tb 3.42-3.47, 2 In 3.46, 2 Mg 3.47
Tb: 0.5000 0.0000 0.5000  4 In 3.43, 8 Tb 3.45-3.46
Tb: 0.5000 0.0000 0.8315  8 Tb 3.42-3.47, 2 In 3.46, 2 Mg 3.47
Mg: 0.5000 0.5000 0.0000  12 Tb 3.45-3.47
In: 0.5000 0.5000 0.3356  12 Tb 3.43-3.46
In: 0.5000 0.5000 0.6644  12 Tb 3.43-3.46

A plane-wave DFT calculation with GGA-PBE was carried out for a relaxed structure of YRuCl3.

Calculated values
Uncorrected formation energy in eV/atom: -0.33
Offset from the most stable computed form in eV per formula unit: 0.296
Symmetry: No. 221
Total moment in μB/cell: 0.00

Cell lengths 4.7602, 4.7602, 4.7602 Å; angles 90.00, 90.00, 90.00 degrees
Closest atoms and distances in Å follow each position.
Fractional positions:
Y: 0.0000 0.0000 0.0000  12 Cl 3.37
Ru: 0.5000 0.5000 0.5000  6 Cl 2.38
Cl: 0.0000 0.5000 0.5000  2 Ru 2.38
Cl: 0.5000 0.0000 0.5000  2 Ru 2.38
Cl: 0.5000 0.5000 0.0000  2 Ru 2.38

A plane-wave DFT calculation with GGA-PBE was carried out for a relaxed structure of LiPt2Br.

Calculated values
Uncorrected formation energy in eV/atom: 0.18
Offset from the most stable computed form in eV per formula unit: 1.653
Symmetry: No. 216
Total moment in μB/cell: 0.00

Cell lengths 6.4943, 6.4943, 6.4943 Å; angles 90.00, 90.00, 90.00 degrees
Closest atoms and distances in Å follow each position.
Fractional positions:
Li: 0.0000 0.0000 0.0000  4 Br 2.81, 4 Pt 2.81
Li: 0.0000 0.5000 0.5000  4 Br 2.81, 4 Pt 2.81
Li: 0.5000 0.0000 0.5000  4 Br 2.81, 4 Pt 2.81
Li: 0.5000 0.5000 0.0000  4 Br 2.81, 4 Pt 2.81
Pt: 0.0000 0.0000 0.5000  4 Pt 2.81, 4 Br 2.81
Pt: 0.0000 0.5000 0.0000  4 Pt 2.81, 4 Br 2.81
Pt: 0.2500 0.2500 0.7500  4 Li 2.81, 4 Pt 2.81
Pt: 0.2500 0.7500 0.2500  4 Li 2.81, 4 Pt 2.81
Pt: 0.5000 0.0000 0.0000  4 Pt 2.81, 4 Br 2.81
Pt: 0.5000 0.5000 0.5000  4 Pt 2.81, 4 Br 2.81
Pt: 0.7500 0.2500 0.2500  4 Li 2.81, 4 Pt 2.81
Pt: 0.7500 0.7500 0.7500  4 Li 2.81, 4 Pt 2.81
Br: 0.2500 0.2500 0.2500  4 Li 2.81, 4 Pt 2.81
Br: 0.2500 0.7500 0.7500  4 Li 2.81, 4 Pt 2.81
Br: 0.7500 0.2500 0.7500  4 Li 2.81, 4 Pt 2.81
Br: 0.7500 0.7500 0.2500  4 Li 2.81, 4 Pt 2.81

A plane-wave DFT calculation with GGA-PBE was carried out for a relaxed structure of TaAu2Br.

Calculated values
Uncorrected formation energy in eV/atom: 0.17
Offset from the most stable computed form in eV per formula unit: 0.663
Symmetry: No. 166
Total moment in μB/cell: 0.00

Cell lengths 3.0887, 3.0887, 29.0929 Å; angles 90.00, 90.00, 120.00 degrees
Closest atoms and distances in Å follow each position.
Fractional positions:
Ta: 0.0000 0.0000 0.0000  6 Au 2.84, 6 Ta 3.09
Ta: 0.3333 0.6667 0.6667  6 Au 2.84, 6 Ta 3.09
Ta: 0.6667 0.3333 0.3333  6 Au 2.84, 6 Ta 3.09
Au: 0.0000 0.0000 0.2573  3 Ta 2.84, 6 Au 3.09
Au: 0.0000 0.0000 0.7427  3 Ta 2.84, 6 Au 3.09
Au: 0.3333 0.6667 0.4093  3 Ta 2.84, 6 Au 3.09
Au: 0.3333 0.6667 0.9240  3 Ta 2.84, 6 Au 3.09
Au: 0.6667 0.3333 0.0760  3 Ta 2.84, 6 Au 3.09
Au: 0.6667 0.3333 0.5907  3 Ta 2.84, 6 Au 3.09
Br: 0.0000 0.0000 0.5000  6 Br 3.09, 6 Au 3.18
Br: 0.3333 0.6667 0.1667  6 Br 3.09, 6 Au 3.18
Br: 0.6667 0.3333 0.8333  6 Br 3.09, 6 Au 3.18

Here are the calculated DOS(E_F) numbers, same order: 8.09; 0.85; 7.00; 15.17; 20.40; 3.28; 8.04; 1.93 (states/eV/f.u.).
Here are the calculated ρ numbers, same order: 7.87; 5.84; 2.09; 11.03; 8.01; 4.56; 11.57; 13.57 (Mg/m³).